(1)
Ta4SiGeC2, relaxed, DFT GGA-PBE; spin magnetization = 0.0 μB per cell; total DFT energy (no corrections) = -9.99 eV per atom; symmetry = P-6m2
1.0
-1.054 2.018 2.305
-0.377 -3.198 0.351
11.051 -0.683 5.648
Ta Ge C Si
4 1 2 1
Cartesian
8.545 -0.300 6.444
3.765 -0.233 1.924
7.286 -0.450 3.724
0.851 0.175 2.512
4.698 -0.063 4.478
2.130 -1.629 2.399
7.716 -1.974 5.254
0.000 0.000 0.000

---

(2)
Er3TmB2Pb2, relaxed, DFT GGA-PBE; spin magnetization = 0.0 μB per cell; total DFT energy (no corrections) = -5.09 eV per atom; symmetry = P3m1
1.0
3.659 0.000 0.000
-1.830 3.169 0.000
0.000 0.000 16.522
Er Pb Tm B
3 2 1 2
Cartesian
0.000 0.000 9.731
1.830 1.056 6.793
1.830 1.056 1.458
0.000 0.000 4.127
1.830 1.056 12.403
0.000 0.000 15.061
0.000 2.113 16.513
0.000 2.113 8.262

---

(3)
GdY2Cd3Ga2Ag, relaxed, DFT GGA-PBE; spin magnetization = 0.0 μB per cell; total DFT energy (no corrections) = -3.74 eV per atom; symmetry = Amm2
1.0
4.326 0.000 0.000
0.000 6.411 3.693
0.000 -6.411 3.693
Y Gd Ga Cd Ag
2 1 2 3 1
Cartesian
0.000 -3.733 2.152
0.000 3.733 2.152
0.000 0.000 3.086
2.163 -2.142 3.694
2.163 2.142 3.694
2.163 0.000 5.517
2.163 -4.785 4.627
2.163 4.785 4.627
0.000 0.000 7.380

---

(4)
Gd2Ho3Tm3, relaxed, DFT GGA-PBE; spin magnetization = 0.2 μB per cell; total DFT energy (no corrections) = -4.55 eV per atom; symmetry = P-6m2; E_form = 0.005 eV per atom
1.0
7.165 0.000 0.000
-3.582 6.205 0.000
0.000 0.000 5.591
Gd Ho Tm
2 3 3
Cartesian
0.000 4.137 0.000
0.000 0.000 2.796
5.365 3.097 2.796
1.800 3.097 2.796
3.582 0.010 2.796
1.801 1.040 0.000
5.364 1.040 0.000
3.582 4.126 0.000

---

(5)
RbReNO, relaxed, DFT GGA-PBE; ΔE to the lowest computed polymorph = 546 meV/atom; spin magnetization = 0.0 μB per cell; total DFT energy (no corrections) = -6.66 eV per atom; symmetry = Cm
1.0
-0.901 0.711 -3.608
-2.248 -3.046 0.059
-6.928 6.294 3.903
Re O N Rb
2 2 2 2
Cartesian
-5.367 1.048 1.108
-4.692 2.930 -0.728
-9.007 3.720 3.485
-8.003 6.518 0.754
-6.489 1.906 -0.432
-3.570 2.073 0.812
-3.280 -0.426 -1.642
-6.828 4.363 1.961

---

(6)
LiTbNiS3, relaxed, DFT GGA-PBE; spin magnetization = 2.8 μB per cell; total DFT energy (no corrections) = -5.26 eV per atom; symmetry = Cmcm
1.0
5.945 -1.889 0.000
5.945 1.889 0.000
0.000 0.000 10.354
Ni S Tb Li
2 6 2 2
Cartesian
6.092 0.000 7.766
5.798 0.000 2.589
4.242 0.000 4.226
1.052 0.000 2.589
4.242 0.000 0.951
10.838 0.000 7.766
7.648 0.000 9.403
7.648 0.000 6.128
0.000 0.000 0.000
0.000 0.000 5.177
2.728 0.000 7.766
9.162 0.000 2.589